Pm3ErBi4: relaxed, PBE.

```
Pm3ErBi4
1.0
-4.112 2.707 -4.133
0.207 -5.278 -3.663
-4.936 -2.476 3.289
Bi Er Pm
4 1 3
direct
0.500 0.000 0.000
0.000 0.500 0.000
0.000 0.000 0.500
0.500 0.500 0.500
0.000 0.000 0.000
0.000 0.500 0.500
0.500 0.000 0.500
0.500 0.500 0.000
```

Summary:
Spin magnetization: 0.00 μB/f.u.
Formation enthalpy at 0 K: -700 kJ/mol of formula units
Density: 9.0 g cm⁻³